1.
An optimized crystal structure of EuCuSnPd. Source: Alexandria via LeMat-Bulk, functional GGA-PBE.

Cell: 6.881 6.881 6.881 Å, 90.00 90.00 90.00°
Element x y z (fractional)
Eu 0.000 0.000 0.000
Eu 0.000 0.500 0.500
Eu 0.500 0.000 0.500
Eu 0.500 0.500 0.000
Cu 0.250 0.250 0.250
Cu 0.250 0.750 0.750
Cu 0.750 0.250 0.750
Cu 0.750 0.750 0.250
Sn 0.000 0.000 0.500
Sn 0.000 0.500 0.000
Sn 0.500 0.000 0.000
Sn 0.500 0.500 0.500
Pd 0.250 0.250 0.750
Pd 0.250 0.750 0.250
Pd 0.750 0.250 0.250
Pd 0.750 0.750 0.750

Energy of formation   -0.4162 eV per atom
Final energy   -6.308 eV per atom

2.
An optimized crystal structure of Li3NdTm2Se6. Source: Alexandria via LeMat-Bulk, functional GGA-PBE.

Cell: 7.076 7.076 6.915 Å, 99.81 99.81 120.01°
Element x y z (fractional)
Li 0.000 0.000 0.000
Li 0.332 0.668 0.000
Li 0.668 0.332 0.000
Nd 0.500 0.500 0.500
Tm 0.167 0.833 0.500
Tm 0.833 0.167 0.500
Se 0.071 0.416 0.247
Se 0.240 0.240 0.755
Se 0.416 0.071 0.247
Se 0.584 0.929 0.753
Se 0.760 0.760 0.245
Se 0.929 0.584 0.753

Formation energy from raw total energies   -1679 meV/atom
Final energy   -5.043 eV per atom

3.
An optimized crystal structure of Np3GeB2Rh9. Source: Alexandria via LeMat-Bulk, functional GGA-PBE.

Cell: 6.536 6.536 6.641 Å, 90.00 90.00 120.00°
Element x y z (fractional)
Np 0.000 0.000 0.000
Np 0.333 0.667 0.683
Np 0.667 0.333 0.317
Ge 0.000 0.000 0.500
B 0.333 0.667 0.140
B 0.667 0.333 0.860
Rh 0.000 0.500 0.000
Rh 0.190 0.379 0.341
Rh 0.190 0.810 0.341
Rh 0.379 0.190 0.659
Rh 0.500 0.000 0.000
Rh 0.500 0.500 0.000
Rh 0.621 0.810 0.341
Rh 0.810 0.190 0.659
Rh 0.810 0.621 0.659

Energy of formation   -0.3450 eV per atom
Final energy   -8.542 eV per atom

4.
An optimized crystal structure of LiZn2Cl. Source: Alexandria via LeMat-Bulk, functional GGA-PBE.

Cell: 3.375 5.938 8.576 Å, 90.00 90.00 90.00°
Element x y z (fractional)
Li 0.000 0.000 0.000
Li 0.500 0.500 0.500
Zn 0.000 0.000 0.530
Zn 0.000 0.500 0.775
Zn 0.500 0.000 0.275
Zn 0.500 0.500 0.030
Cl 0.000 0.500 0.317
Cl 0.500 0.000 0.817

Formation energy from raw total energies   -359 meV/atom
Offset from the most stable computed form   0.213 eV/atom
Final energy   -1.937 eV per atom

5.
An optimized crystal structure of LaBeTe3. Source: Alexandria via LeMat-Bulk, functional GGA-PBE.

Cell: 6.167 6.167 6.167 Å, 90.00 90.00 90.00°
Element x y z (fractional)
La 0.000 0.000 0.000
Be 0.500 0.500 0.500
Te 0.000 0.000 0.500
Te 0.000 0.500 0.000
Te 0.500 0.000 0.000

Formation energy from raw total energies   454 meV/atom
Offset from the most stable computed form   0.947 eV/atom
Final energy   -3.161 eV per atom

6.
An optimized crystal structure of BiSbAsIr2. Source: Alexandria via LeMat-Bulk, functional GGA-PBE.

Cell: 4.849 4.849 5.853 Å, 90.00 90.00 90.00°
Element x y z (fractional)
Bi 0.000 0.000 0.000
Sb 0.000 0.000 0.500
As 0.500 0.500 0.000
Ir 0.000 0.500 0.500
Ir 0.500 0.000 0.500

Formation energy from raw total energies   1482 meV/atom
Final energy   -4.593 eV per atom

- Look up the final energy of the fourth one.
  -1.937 eV per atom